(1)
Compound: Ba3AcLa3Se8
Source: Alexandria
Functional: PBE-GGA
Structure: relaxed

```
data_Ba3AcLa3Se8
_chemical_formula_sum 'Ba9 Ac3 La9 Se24'
_space_group_name_H-M_alt 'R -3 m'
_space_group_IT_number 166
_space_group_name_Hall '-R 3 2"'
_cell_length_a 8.8850
_cell_length_b 8.8850
_cell_length_c 22.6773
_cell_angle_alpha 90.00
_cell_angle_beta 90.00
_cell_angle_gamma 120.00
loop_
_atom_site_label
_atom_site_type_symbol
_atom_site_fract_x
_atom_site_fract_y
_atom_site_fract_z
Ba1 Ba 0.0000 0.5000 0.0000
Ac1 Ac 0.0000 0.0000 0.5000
La1 La 0.0000 0.5000 0.5000
Se1 Se 0.0000 0.0000 0.2421
Se2 Se 0.0061 0.5030 0.7583
```

Total energy (eV/cell): -247.348
Calculated volume (Å³ per atom): 34.5
E_form (uncorrected) (eV/atom): -1.994

***

(2)
Compound: BaSrAcLa
Source: Alexandria
Functional: PBE-GGA
Structure: relaxed

```
data_BaSrAcLa
_chemical_formula_sum 'Ba4 Sr4 Ac4 La4'
_space_group_name_H-M_alt 'F -4 3 m'
_space_group_IT_number 216
_space_group_name_Hall 'F -4 2 3'
_cell_length_a 9.143
_cell_length_b 9.143
_cell_length_c 9.143
_cell_angle_alpha 90.00
_cell_angle_beta 90.00
_cell_angle_gamma 90.00
loop_
_atom_site_label
_atom_site_type_symbol
_atom_site_fract_x
_atom_site_fract_y
_atom_site_fract_z
Ba1 Ba 0.000 0.000 0.000
Sr1 Sr 0.250 0.250 0.750
Ac1 Ac 0.250 0.250 0.250
La1 La 0.000 0.000 0.500
```

Total energy (eV/cell): -47.983
Calculated volume (Å³ per atom): 47.8
DFT formation energy (kJ/mol of formula units): 62